Mn4SnO8 | PBE+U | relaxed

Values from the calculation:
volume = 177 Å³/f.u.
electronic total energy = -7.136 eV/atom

Cell: 10.2917 5.7905 6.8691 Å, 90.00 120.09 90.00°
Space group C2/m (No. 12)
Unique sites:
Mn 0.0000 0.2463 0.0000 x4
Mn 0.2153 0.0000 0.4823 x4
Sn 0.0000 0.5000 0.5000 x2
O 0.0082 0.0000 0.1881 x4
O 0.0117 0.5000 0.1974 x4
O 0.1844 0.2748 0.6203 x8